Entry 1:
Below is a relaxed structure of Pm2SmSc, with properties calculated at the GGA-PBE level.

As for the density of states at the Fermi level: 1.58 states/eV per atom. The energy of formation comes out at 43 meV/atom.

It has space group P4/mmm (No. 123), with a = 3.5853 Å, b = 3.5853 Å, c = 9.8371 Å, α = 90.00°, β = 90.00° and γ = 90.00°. The asymmetric unit holds Pm at (0.0000, 0.0000, 0.2358), Sm at (0.5000, 0.5000, 0.5000) and Sc at (0.5000, 0.5000, 0.0000).

---

Entry 2:
Below is a relaxed structure of PmSmSc, with properties calculated at the GGA-PBE level.

As for the density of states at the Fermi level: 1.75 states/eV per atom. The energy of formation comes out at 103 meV/atom.

It has space group C2/m (No. 12), with a = 20.6293 Å, b = 3.4374 Å, c = 5.1807 Å, α = 90.00°, β = 90.00° and γ = 90.00°. The asymmetric unit holds Pm at (0.0487, 0.0000, 0.2500), Sm at (0.1300, 0.5000, 0.7499) and Sc at (0.2102, 0.0000, 0.2506).

---

Entry 3:
Below is a relaxed structure of Pm12Sm3Sc, with properties calculated at the GGA-PBE level.

As for the density of states at the Fermi level: 1.51 states/eV per atom. The energy of formation comes out at 22 meV/atom.

It has space group P4/mmm (No. 123), with a = 5.1262 Å, b = 5.1262 Å, c = 20.4560 Å, α = 90.00°, β = 90.00° and γ = 90.00°. The asymmetric unit holds Pm at (0.0000, 0.0000, 0.0000), Pm at (0.0000, 0.0000, 0.2465), Pm at (0.0000, 0.0000, 0.5000), Pm at (0.0000, 0.5000, 0.1203), Pm at (0.0000, 0.5000, 0.3734), Sm at (0.5000, 0.5000, 0.2469), Sm at (0.5000, 0.5000, 0.5000) and Sc at (0.5000, 0.5000, 0.0000).

---

Entry 4:
Below is a relaxed structure of PmSm4Sc, with properties calculated at the GGA-PBE level.

As for the density of states at the Fermi level: 1.69 states/eV per atom. The energy of formation comes out at 71 meV/atom.

It has space group P2_1/m (No. 11), with a = 5.6257 Å, b = 7.0032 Å, c = 9.7999 Å, α = 90.00°, β = 90.01° and γ = 90.00°. The asymmetric unit holds Pm at (0.2453, 0.2500, 0.0903), Sm at (0.2466, 0.7500, 0.4210), Sm at (0.2506, 0.5013, 0.7398), Sm at (0.2545, 0.7500, 0.0821) and Sc at (0.2532, 0.2500, 0.4167).

---

Entry 5:
Below is a relaxed structure of Pm2SmSc3, with properties calculated at the GGA-PBE level.

As for the density of states at the Fermi level: 2.10 states/eV per atom. The energy of formation comes out at 265 meV/atom.

It has space group P-3m1 (No. 164), with a = 6.7285 Å, b = 6.7285 Å, c = 9.2694 Å, α = 90.00°, β = 90.00° and γ = 120.00°. The asymmetric unit holds Pm at (0.0000, 0.0000, 0.0000), Pm at (0.0000, 0.0000, 0.5000), Pm at (0.3333, 0.6667, 0.0639), Sm at (0.3333, 0.6667, 0.4213) and Sc at (0.1873, 0.3746, 0.7435).

---

Entry 6:
Below is a relaxed structure of PmSm3Sc2, with properties calculated at the GGA-PBE level.

As for the density of states at the Fermi level: 1.73 states/eV per atom. The energy of formation comes out at 274 meV/atom.

It has space group Cmcm (No. 63), with a = 14.4388 Å, b = 9.8284 Å, c = 5.4923 Å, α = 90.00°, β = 90.00° and γ = 90.00°. The asymmetric unit holds Pm at (0.0000, 0.2307, 0.2500), Sm at (0.0000, 0.4036, 0.7500), Sm at (0.2393, 0.3691, 0.7500) and Sc at (0.1051, 0.0903, 0.7500).

---

Entry 7:
Below is a relaxed structure of Pm6Sm8Sc, with properties calculated at the GGA-PBE level.

As for the density of states at the Fermi level: 1.45 states/eV per atom. The energy of formation comes out at 172 meV/atom.

It has space group R-3 (No. 148, hexagonal axes), with a = 9.8755 Å, b = 9.8755 Å, c = 17.8476 Å, α = 90.00°, β = 90.00° and γ = 120.00°. The asymmetric unit holds Pm at (0.0411, 0.6231, 0.3420), Sm at (0.0000, 0.0000, 0.4125), Sm at (0.0589, 0.8188, 0.1701) and Sc at (0.0000, 0.0000, 0.0000).

---

Entry 8:
Below is a relaxed structure of Pm3Sm3Sc2, with properties calculated at the GGA-PBE level.

As for the density of states at the Fermi level: 1.43 states/eV per atom. The energy of formation comes out at 38 meV/atom.

It has space group Pmmm (No. 47), with a = 5.0086 Å, b = 5.0160 Å, c = 9.9976 Å, α = 90.00°, β = 90.00° and γ = 90.00°. The asymmetric unit holds Pm at (0.0000, 0.0000, 0.0000), Pm at (0.0000, 0.0000, 0.5000), Pm at (0.5000, 0.5000, 0.0000), Sm at (0.0000, 0.5000, 0.2504), Sm at (0.5000, 0.5000, 0.5000) and Sc at (0.5000, 0.0000, 0.2503).

---

Entry 9:
Below is a relaxed structure of Pm2SmSc6, with properties calculated at the GGA-PBE level.

As for the density of states at the Fermi level: 1.78 states/eV per atom. The energy of formation comes out at 75 meV/atom.

It has space group P6/mmm (No. 191), with a = 9.3079 Å, b = 9.3079 Å, c = 3.2971 Å, α = 90.00°, β = 90.00° and γ = 120.00°. The asymmetric unit holds Pm at (0.3333, 0.6667, 0.0000), Sm at (0.0000, 0.0000, 0.0000) and Sc at (0.0000, 0.3330, 0.5000).

---

Entry 10:
Below is a relaxed structure of Pm2Sm3Sc2, with properties calculated at the GGA-PBE level.

As for the density of states at the Fermi level: 1.74 states/eV per atom. The energy of formation comes out at 102 meV/atom.

It has space group Cmmm (No. 65), with a = 3.4982 Å, b = 36.0304 Å, c = 3.5069 Å, α = 90.00°, β = 90.00° and γ = 90.00°. The asymmetric unit holds Pm at (0.0000, 0.2069, 0.0000), Sm at (0.0000, 0.0735, 0.0000), Sm at (0.0000, 0.5000, 0.5000) and Sc at (0.0000, 0.3596, 0.5000).

---

Entry 11:
Below is a relaxed structure of Pm2Sm9Sc, with properties calculated at the GGA-PBE level.

As for the density of states at the Fermi level: 1.62 states/eV per atom. The energy of formation comes out at 28 meV/atom.

It has space group P4/mmm (No. 123), with a = 5.0954 Å, b = 5.0954 Å, c = 15.2661 Å, α = 90.00°, β = 90.00° and γ = 90.00°. The asymmetric unit holds Pm at (0.0000, 0.0000, 0.1696), Sm at (0.0000, 0.5000, 0.0000), Sm at (0.0000, 0.5000, 0.3390), Sm at (0.5000, 0.5000, 0.1696), Sm at (0.5000, 0.5000, 0.5000) and Sc at (0.0000, 0.0000, 0.5000).

---

Entry 12:
Below is a relaxed structure of Pm3Sm2Sc2, with properties calculated at the GGA-PBE level.

As for the density of states at the Fermi level: 1.48 states/eV per atom. The energy of formation comes out at 45 meV/atom.

It has space group C2/m (No. 12), with a = 11.0909 Å, b = 4.9957 Å, c = 7.9491 Å, α = 90.00°, β = 98.33° and γ = 90.00°. The asymmetric unit holds Pm at (0.0000, 0.0000, 0.0000), Pm at (0.2145, 0.5000, 0.1432), Sm at (0.1403, 0.0000, 0.4288) and Sc at (0.0718, 0.5000, 0.7073).